Entry 1:
PBE NaRhIN2, optimized geometry; energy above the most stable polymorph in this dataset = 0.000 eV/atom; calculated density = 4.61 g cm⁻³; raw formation energy = 0.70 eV per atom; electronic total energy = -23.4 eV for the cell shown; symmetry = P4/mmm (123)
1.0
3.9063 0.0000 0.0000
0.0000 3.9063 0.0000
0.0000 0.0000 6.6354
Na Rh I N
1 1 1 2
Cartesian
0.0000 0.0000 0.0000 Na
1.9531 1.9531 3.3177 Rh
1.9531 1.9531 0.0000 I
0.0000 1.9531 3.3177 N
1.9531 0.0000 3.3177 N

***

Entry 2:
PBE NaRuI2N, optimized geometry; energy above the most stable polymorph in this dataset = 1.842 eV/atom; calculated density = 4.79 g cm⁻³; raw formation energy = 1.74 eV per atom; electronic total energy = -13.3 eV for the cell shown; symmetry = P4/mmm (123)
1.0
5.6560 0.0000 0.0000
0.0000 5.6560 0.0000
0.0000 0.0000 4.2451
Na Ru I N
1 1 2 1
Cartesian
0.0000 0.0000 0.0000 Na
2.8280 2.8280 2.1225 Ru
0.0000 2.8280 0.0000 I
2.8280 0.0000 0.0000 I
0.0000 0.0000 2.1225 N

***

Entry 3:
PBE NaRuI2N, optimized geometry; energy above the most stable polymorph in this dataset = 0.000 eV/atom; calculated density = 5.35 g cm⁻³; raw formation energy = -0.10 eV per atom; electronic total energy = -22.5 eV for the cell shown; symmetry = P4/mmm (123)
1.0
5.6907 0.0000 0.0000
0.0000 5.6907 0.0000
0.0000 0.0000 3.7540
Na Ru I N
1 1 2 1
Cartesian
0.0000 0.0000 0.0000 Na
2.8453 2.8453 1.8770 Ru
0.0000 2.8453 1.8770 I
2.8453 0.0000 1.8770 I
2.8453 2.8453 0.0000 N